Record 1
First-principles (PBE) data for a relaxed structure of Pr2TmLu, as listed in Alexandria.

Summary:
DOS at the Fermi energy, states/eV/cell: 4.2
Symmetry: R-3m, No. 166

Cell: 3.604 3.604 11.766 Å, 81.19 81.19 60.00°
Positions (direct):
1 Pr 0.750 0.750 0.749
2 Pr 0.250 0.250 0.251
3 Lu 0.500 0.500 0.500
4 Tm 0.000 0.000 0.000

Record 2
First-principles (PBE) data for a relaxed structure of Pr2TmLu, as listed in Alexandria.

Summary:
DOS at the Fermi energy, states/eV/cell: 6.1
Symmetry: P4/mmm, No. 123

Cell: 4.953 5.141 5.141 Å, 90.00 90.00 90.00°
Positions (direct):
1 Pr 0.000 0.000 0.500
2 Pr 0.000 0.500 0.000
3 Lu 0.500 0.000 0.000
4 Tm 0.500 0.500 0.500

Number 1: formation energy from the elements 0.09 eV/f.u., DFT total energy -18.5 eV/cell. Number 2: formation energy from the elements 0.10 eV/f.u., DFT total energy -18.5 eV/cell.